(w)
This record from Alexandria describes a relaxed structure of YReAs2. The functional is GGA-PBE. Values from VASP.

Structure (Quantum ESPRESSO input):
```
&SYSTEM
  ibrav = 0, nat = 4, ntyp = 3
/
ATOMIC_SPECIES
Y 88.91 Y.upf
Re 186.21 Re.upf
As 74.92 As.upf
ATOMIC_POSITIONS angstrom
Y 0.000 0.000 0.000
Re 0.000 1.978 2.419
As 1.978 0.000 2.419
As 0.000 0.000 4.838
CELL_PARAMETERS angstrom
-1.978 1.978 4.838
1.978 -1.978 4.838
1.978 1.978 -4.838
```

Results
* total magnetization: 1.15 μB/cell

(x)
This record from Alexandria describes a relaxed structure of YReAs2. The functional is GGA-PBE. Values from VASP.

Structure (Quantum ESPRESSO input):
```
&SYSTEM
  ibrav = 0, nat = 4, ntyp = 3
/
ATOMIC_SPECIES
Y 88.91 Y.upf
Re 186.21 Re.upf
As 74.92 As.upf
ATOMIC_POSITIONS angstrom
Y 0.000 0.000 0.000
Re 0.000 0.000 3.517
As 1.598 1.598 2.038
As 1.598 1.598 4.996
CELL_PARAMETERS angstrom
3.196 0.000 0.000
0.000 3.196 0.000
0.000 0.000 7.034
```

Results
* total magnetization: 0.00 μB/cell

Of them, the most stable is (x) and the least stable is (w).